(1)
BeZn2In | the Alexandria database | PBE-GGA | optimized geometry; crystal system = trigonal; ΔH_f (0 K) = 1.1 eV/f.u.; space-group type = No. 166; energy relative to the lowest polymorph listed for this composition = 15.5 kJ/mol of formula units; density = 6.33 g/cm³
1.0
8.5236 -0.0020 -0.0012
7.9821 2.9896 -0.0012
7.9821 1.4448 2.6173
Be Zn In
1 2 1
direct
0.2500 0.2500 0.2500
0.9851 0.9851 0.9851
0.5149 0.5149 0.5149
0.7500 0.7500 0.7500


(2)
Be2ZnIn | the Alexandria database | PBE-GGA | optimized geometry; crystal system = monoclinic; ΔH_f (0 K) = 2.0 eV/f.u.; space-group type = No. 12; energy relative to the lowest polymorph listed for this composition = 60.9 kJ/mol of formula units; density = 5.15 g/cm³
1.0
4.7657 -0.0096 -0.0257
-2.7451 4.5108 0.0327
-0.7245 1.1147 2.9869
Be Zn In
2 1 1
direct
0.0000 0.0000 0.0000
0.5000 0.0000 0.5000
0.5000 0.5000 0.0000
0.0000 0.5000 0.5000


(3)
BeZn2In2 | the Alexandria database | PBE-GGA | optimized geometry; crystal system = tetragonal; ΔH_f (0 K) = 1.5 eV/f.u.; space-group type = No. 127; density = 6.44 g/cm³
1.0
-2.3433 -1.9512 5.7472
4.3780 -4.8102 0.1519
2.9081 2.7134 2.1069
Be Zn In
2 4 4
direct
0.0000 0.0000 0.0000
0.5000 0.5000 0.0000
0.3508 0.8508 0.0000
0.8508 0.6492 0.0000
0.6492 0.1492 0.0000
0.1492 0.3508 0.0000
0.1703 0.6703 0.5000
0.6703 0.8297 0.5000
0.8297 0.3297 0.5000
0.3297 0.1703 0.5000


no.,Fermi-level density of states (states/eV per atom)
1,0.109
2,0.222
3,0.325